VASP calculation (PBE) on an optimized crystal structure of Ba2SiBr.

a b c (Å): 4.8364 6.7045 4.7865
angles (deg): 90.00 90.00 90.00
Space group Pmm2 (No. 25)
Symmetry-distinct sites (fractional):
1 Ba 0.0000 0.0000 0.0000 x1
2 Ba 0.5000 0.5000 0.4988 x1
3 Si 0.5000 0.0000 0.5003 x1
4 Br 0.0000 0.5000 0.9986 x1

Crystal system: orthorhombic
D(E_F), states/eV per atom: 1.237
ΔE_f (raw), eV/atom: -0.913
E, eV per atom: -3.65
Magnetic moment, μB/atom: 0.00